FeIrNO2 | GGA+U | optimized geometry

POSCAR file:
```
FeIrNO2
1.0
-2.797 -1.996 2.169
2.706 -0.552 2.981
-1.058 3.162 1.545
O N Ir Fe
2 1 1 1
Cartesian
1.353 -0.276 1.491
-1.399 -0.998 1.085
-0.529 1.581 0.773
0.000 0.000 0.000
-0.575 0.307 3.348
```

## Properties
Calculated total energy in eV per atom: -6.3730
Total magnetic moment in μB per formula unit: 4.2